1.
## Ta3Re2Os (GGA-PBE)

Data for an optimized crystal structure of Ta3Re2Os.

abc: 3.1951 3.1951 9.5929
angles: 90.00 90.00 90.00
Fractional coordinates of all 6 atoms:
Ta  0.0000  0.0000  0.0000
Ta  0.0000  0.0000  0.3301
Ta  0.0000  0.0000  0.6699
Re  0.5000  0.5000  0.1680
Re  0.5000  0.5000  0.8320
Os  0.5000  0.5000  0.5000

Computed properties:
Space-group type: P4/mmm (123)
ΔH_f (0 K) in eV/f.u.: -2.26
Fermi-level density of states in states/eV/atom: 0.446

***

2.
## AgP2PtS (GGA-PBE)

Data for an optimized crystal structure of AgP2PtS.

abc: 4.7266 4.7266 4.7135
angles: 90.00 90.00 90.00
Fractional coordinates of all 5 atoms:
Ag  0.0000  0.0000  0.0000
P  0.0000  0.5000  0.0000
P  0.5000  0.0000  0.0000
Pt  0.5000  0.5000  0.5000
S  0.0000  0.0000  0.5000

Computed properties:
Space-group type: P4/mmm (123)
Uncorrected formation energy in meV per atom: 1428
Fermi-level density of states in states/eV/atom: 0.928

***

3.
## CsPd2PbCl (GGA-PBE)

Data for an optimized crystal structure of CsPd2PbCl.

abc: 5.0563 5.0563 5.7159
angles: 90.00 90.00 90.00
Fractional coordinates of all 5 atoms:
Cs  0.0000  0.0000  0.0000
Pd  0.0000  0.5000  0.5000
Pd  0.5000  0.0000  0.5000
Pb  0.5000  0.5000  0.0000
Cl  0.5000  0.5000  0.5000

Computed properties:
Space-group type: P4/mmm (123)
Uncorrected formation energy in meV per atom: 327
Fermi-level density of states in states/eV/atom: 0.979

***

4.
## ScTlMo4 (GGA-PBE)

Data for an optimized crystal structure of ScTlMo4.

abc: 5.3739 5.3739 5.3739
angles: 60.00 60.00 60.00
Fractional coordinates of all 6 atoms:
Sc  0.0000  0.0000  0.0000
Tl  0.7500  0.7500  0.7500
Mo  0.3757  0.3757  0.3757
Mo  0.3757  0.3757  0.8728
Mo  0.3757  0.8728  0.3757
Mo  0.8728  0.3757  0.3757

Computed properties:
Space-group type: F-43m (216)
ΔH_f (0 K) in eV/f.u.: 1.57
Fermi-level density of states in states/eV/atom: 0.802

***

5.
## Li2Zn5Au4 (GGA-PBE)

Data for an optimized crystal structure of Li2Zn5Au4.

abc: 6.6078 6.6078 8.3197
angles: 128.91 128.91 47.16
Fractional coordinates of all 11 atoms:
Li  0.2338  0.2338  0.2344
Li  0.7662  0.7662  0.7656
Zn  0.2542  0.7457  0.3244
Zn  0.2543  0.7458  0.6756
Zn  0.5000  0.5000  0.0000
Zn  0.7457  0.2542  0.3244
Zn  0.7458  0.2543  0.6756
Au  0.2580  0.2580  0.5820
Au  0.2582  0.2582  0.9353
Au  0.7418  0.7418  0.0647
Au  0.7420  0.7420  0.4180

Computed properties:
Space-group type: C2/m (12)
ΔH_f (0 K) in eV/f.u.: -2.99
Fermi-level density of states in states/eV/atom: 0.237

***

6.
## Tb5Sm6Er (GGA-PBE)

Data for an optimized crystal structure of Tb5Sm6Er.

abc: 6.2213 6.2213 11.8641
angles: 94.99 94.99 119.97
Fractional coordinates of all 12 atoms:
Tb  0.0000  0.0000  0.0000
Tb  0.1666  0.8334  0.5000
Tb  0.3334  0.6666  0.0000
Tb  0.6666  0.3334  0.0000
Tb  0.8334  0.1666  0.5000
Sm  0.0844  0.4174  0.2506
Sm  0.2496  0.2496  0.7497
Sm  0.4174  0.0844  0.2506
Sm  0.5826  0.9156  0.7494
Sm  0.7504  0.7504  0.2503
Sm  0.9156  0.5826  0.7494
Er  0.5000  0.5000  0.5000

Computed properties:
Space-group type: C2/m (12)
ΔH_f (0 K) in eV/f.u.: 0.16
Fermi-level density of states in states/eV/atom: 1.243

***

7.
## ScTl2Fe (GGA-PBE)

Data for an optimized crystal structure of ScTl2Fe.

abc: 3.2102 4.4506 6.2097
angles: 90.00 104.76 90.00
Fractional coordinates of all 4 atoms:
Sc  0.0000  0.0000  0.0000
Tl  0.3916  0.5000  0.7373
Tl  0.6084  0.5000  0.2627
Fe  0.0000  0.0000  0.5000

Computed properties:
Space-group type: P2/m (10)
ΔH_f (0 K) in eV/f.u.: 0.96
Fermi-level density of states in states/eV/atom: 0.682

***

8.
## KTcHg2 (GGA-PBE)

Data for an optimized crystal structure of KTcHg2.

abc: 3.3049 3.3049 8.7881
angles: 90.00 90.00 90.00
Fractional coordinates of all 4 atoms:
K  0.0000  0.0000  0.0000
Tc  0.0000  0.0000  0.5000
Hg  0.5000  0.5000  0.3014
Hg  0.5000  0.5000  0.6986

Computed properties:
Space-group type: P4/mmm (123)
ΔH_f (0 K) in eV/f.u.: 2.03
Fermi-level density of states in states/eV/atom: 0.681

***

9.
## Ho2Al3CdAu4 (GGA-PBE)

Data for an optimized crystal structure of Ho2Al3CdAu4.

abc: 4.2846 4.2846 11.1892
angles: 90.00 90.00 90.00
Fractional coordinates of all 10 atoms:
Ho  0.0000  0.5000  0.2404
Ho  0.5000  0.0000  0.7596
Al  0.0000  0.5000  0.8736
Al  0.5000  0.0000  0.1264
Al  0.5000  0.5000  0.5000
Cd  0.0000  0.0000  0.5000
Au  0.0000  0.0000  0.0000
Au  0.0000  0.5000  0.6548
Au  0.5000  0.0000  0.3452
Au  0.5000  0.5000  0.0000

Computed properties:
Space-group type: P-4m2 (115)
ΔH_f (0 K) in eV/f.u.: -5.98
Fermi-level density of states in states/eV/atom: 0.520

***

10.
## BaAl2AgF8 (GGA-PBE)

Data for an optimized crystal structure of BaAl2AgF8.

abc: 7.9243 7.9243 7.9243
angles: 45.58 45.58 45.58
Fractional coordinates of all 12 atoms:
Ba  0.0000  0.0000  0.0000
Al  0.2630  0.2630  0.2630
Al  0.7370  0.7370  0.7370
Ag  0.5000  0.5000  0.5000
F  0.0883  0.0883  0.5537
F  0.0883  0.5537  0.0883
F  0.3436  0.3436  0.3436
F  0.4463  0.9117  0.9117
F  0.5537  0.0883  0.0883
F  0.6564  0.6564  0.6564
F  0.9117  0.4463  0.9117
F  0.9117  0.9117  0.4463

Computed properties:
Space-group type: R-3m (166)
Uncorrected formation energy in meV per atom: -3034
Fermi-level density of states in states/eV/atom: 0.223

***

11.
## Tm12Tl6Hg (GGA-PBE)

Data for an optimized crystal structure of Tm12Tl6Hg.

abc: 8.7408 8.7408 8.7408
angles: 100.31 100.31 100.31
Fractional coordinates of all 19 atoms:
Tm  0.0587  0.9379  0.6803
Tm  0.0621  0.3197  0.9413
Tm  0.1794  0.5700  0.4289
Tm  0.3197  0.9413  0.0621
Tm  0.4289  0.1794  0.5700
Tm  0.4300  0.5711  0.8206
Tm  0.5700  0.4289  0.1794
Tm  0.5711  0.8206  0.4300
Tm  0.6803  0.0587  0.9379
Tm  0.8206  0.4300  0.5711
Tm  0.9379  0.6803  0.0587
Tm  0.9413  0.0621  0.3197
Tl  0.1363  0.3043  0.6124
Tl  0.3043  0.6124  0.1363
Tl  0.3876  0.8637  0.6957
Tl  0.6124  0.1363  0.3043
Tl  0.6957  0.3876  0.8637
Tl  0.8637  0.6957  0.3876
Hg  0.0000  0.0000  0.0000

Computed properties:
Space-group type: R-3 (148)
ΔH_f (0 K) in eV/f.u.: 0.30
Fermi-level density of states in states/eV/atom: 0.556